Material: ZnReNO
Method: DFT, PBE
State: relaxed

Results
Excess energy over the best structure of this formula in the dataset   455 meV per atom

Cell and atoms, written as extended XYZ:
```
8
Lattice="3.809 0.000 0.000 0.000 3.809 0.000 0.000 0.000 6.851" Properties=species:S:1:pos:R:3 pbc="T T T"
Zn 0.952 0.952 0.580
Zn 2.857 2.857 6.270
Re 0.952 2.857 3.425
Re 2.857 0.952 3.425
N 0.952 0.952 4.203
N 2.857 2.857 2.647
O 0.952 2.857 0.000
O 2.857 0.952 0.000
```